12
Lattice="-6.333 -1.400 -0.527 3.925 -3.914 3.409 -1.583 4.523 7.017" Properties=species:S:1:pos:R:3 comment="K3CuB2S6, relaxed, DFT PBE" formation_energy_uncorrected_ev_per_atom=-0.5798 pbc="T T T"
K -0.563 -0.024 6.832
K -3.429 -0.767 3.067
K 0.000 0.000 0.000
Cu -0.792 2.262 3.508
B -4.003 0.873 5.611
B 0.011 -1.663 4.288
S -1.383 -2.792 4.598
S -0.218 -0.220 3.203
S 1.682 -2.115 4.853
S -3.774 -0.571 6.696
S -2.608 2.002 5.301
S -5.674 1.324 5.046


5
Lattice="-0.569 -2.352 -3.210 -2.152 -4.014 3.322 -3.672 1.561 -0.492" Properties=species:S:1:pos:R:3 comment="KCuB2S, relaxed, DFT PBE" formation_energy_uncorrected_ev_per_atom=1.0501 pbc="T T T"
K -1.076 -2.007 1.661
B -1.836 0.780 -0.246
B -0.285 -1.176 -1.605
S -3.196 -2.402 -0.190
Cu 0.000 0.000 0.000


8
Lattice="-0.636 2.807 4.692 -0.157 -3.773 5.464 5.669 2.155 2.709" Properties=species:S:1:pos:R:3 comment="KCuB2S4, relaxed, DFT PBE" formation_energy_uncorrected_ev_per_atom=-0.4457 pbc="T T T"
K 0.000 0.000 0.000
Cu 2.756 -0.809 4.086
B 1.430 -0.431 6.909
B 3.445 1.619 5.956
S 4.114 1.728 7.501
S 2.820 1.554 4.390
S 0.462 0.781 7.572
S 2.355 -1.687 6.265


8
Lattice="-1.472 -5.008 -3.007 0.679 -5.258 2.389 -5.557 -1.536 -0.756" Properties=species:S:1:pos:R:3 comment="KCu2BS4, relaxed, DFT PBE" formation_energy_uncorrected_ev_per_atom=-0.4062 pbc="T T T"
K 0.000 0.000 0.000
Cu -1.616 -6.831 0.099
Cu -4.734 -4.970 -1.473
B -2.439 -3.397 0.817
S -5.139 -7.292 -1.226
S -2.957 -3.468 -1.028
S -2.143 -7.678 -2.050
S -2.462 -5.165 1.556


5
Lattice="-4.141 0.828 -3.558 -0.287 -3.876 -0.568 -3.631 -0.339 4.147" Properties=species:S:1:pos:R:3 comment="KCuBSb2, relaxed, DFT PBE" formation_energy_uncorrected_ev_per_atom=0.5828 pbc="T T T"
Sb -1.815 -0.169 2.073
Sb -2.071 0.414 -1.779
K -4.029 -1.693 0.010
B -0.144 -1.938 -0.284
Cu 0.000 0.000 0.000


5
Lattice="-2.466 -3.009 -2.333 3.692 -4.027 1.290 -2.364 -0.968 3.748" Properties=species:S:1:pos:R:3 comment="KScCuB2, relaxed, DFT PBE" formation_enthalpy_0k_mev_per_atom=1811 pbc="T T T"
Sc 0.000 0.000 0.000
K 1.846 -2.013 0.645
B -1.182 -0.484 1.874
B -1.233 -1.504 -1.166
Cu -0.569 -4.002 1.353


16
Lattice="-6.080 0.507 2.194 -4.725 -5.085 -2.340 -0.679 -5.570 8.986" Properties=species:S:1:pos:R:3 comment="K2CuBSe4, relaxed, DFT PBE" formation_energy_uncorrected_ev_per_atom=-0.5415 pbc="T T T"
K -1.558 -3.402 6.049
K -5.201 -1.661 5.130
K -6.383 -7.115 7.904
K -8.141 -2.780 2.032
Cu -7.262 -4.948 4.968
Cu 0.000 0.000 0.000
B -4.222 -5.201 3.871
B -3.040 0.253 1.097
Se -5.930 -4.787 -0.263
Se -2.955 -5.578 8.165
Se -9.756 -8.790 7.830
Se -4.327 -1.142 1.947
Se -6.057 -5.246 2.892
Se -4.986 -4.940 5.789
Se -8.990 -6.307 5.978
Se -2.935 -3.805 3.021


8
Lattice="5.720 0.000 0.000 2.860 6.353 -0.358 2.860 0.347 6.353" Properties=species:S:1:pos:R:3 comment="KCuB2Se4, relaxed, DFT PBE" formation_energy_uncorrected_ev_per_atom=-0.2040 pbc="T T T"
K 0.000 0.000 0.000
Cu 2.860 3.350 2.998
B 5.720 4.394 1.831
B 5.720 2.306 4.164
Se 7.092 3.176 5.011
Se 4.349 1.369 3.393
Se 7.092 3.524 0.984
Se 4.349 5.332 2.602


5
Lattice="4.086 0.000 0.000 0.000 4.765 0.000 0.000 0.000 4.086" Properties=species:S:1:pos:R:3 comment="KCuB2W, relaxed, DFT PBE" formation_enthalpy_0k_mev_per_atom=2319 pbc="T T T"
K 0.000 2.382 0.000
B 0.000 0.000 2.043
B 2.043 0.000 0.000
Cu 0.000 0.000 0.000
W 2.043 2.382 2.043


5
Lattice="-4.139 -2.344 2.276 3.189 -3.699 1.989 0.712 2.938 4.321" Properties=species:S:1:pos:R:3 comment="La3CuB, relaxed, DFT PBE" formation_enthalpy_0k_mev_per_atom=233 pbc="T T T"
B 0.000 0.000 0.000
Cu -0.119 -1.553 4.293
La 1.595 -1.850 0.995
La 0.356 1.469 2.161
La -2.070 -1.172 1.138


8
Lattice="-0.777 5.193 -3.073 -5.829 -1.447 -0.971 -5.038 5.011 3.720" Properties=species:S:1:pos:R:3 comment="La2CuB, relaxed, DFT PBE" formation_enthalpy_0k_mev_per_atom=534 pbc="T T T"
B -3.303 1.873 -2.022
B -7.085 2.719 0.364
Cu 0.000 0.000 0.000
Cu -4.559 6.039 -0.688
La -2.436 4.066 -0.963
La -5.038 1.250 -0.210
La -6.539 5.093 1.226
La -9.276 7.107 -0.701


5
Lattice="-1.135 -0.008 -3.958 0.794 -4.780 -0.218 -3.900 -0.699 1.120" Properties=species:S:1:pos:R:3 comment="LaCu2BP, relaxed, DFT PBE" formation_enthalpy_0k_mev_per_atom=-134 pbc="T T T"
P 0.397 -2.390 -0.109
B 0.000 0.000 0.000
Cu -1.950 -0.349 0.560
Cu -0.567 -0.004 -1.979
La -2.120 -2.743 -1.528


5
Lattice="4.479 0.000 0.000 0.000 4.479 0.000 0.000 0.000 4.179" Properties=species:S:1:pos:R:3 comment="LaCuBPd2, relaxed, DFT PBE" formation_enthalpy_0k_mev_per_atom=-370 pbc="T T T"
B 0.000 0.000 0.000
Cu 0.000 0.000 2.090
Pd 0.000 2.239 0.000
Pd 2.239 0.000 0.000
La 2.239 2.239 2.090


10
Lattice="-0.246 -1.179 5.544 3.207 -6.610 -1.264 6.135 -3.463 2.438" Properties=species:S:1:pos:R:3 comment="La2CuBPt6, relaxed, DFT PBE" formation_enthalpy_0k_mev_per_atom=-829 pbc="T T T"
La 4.285 -4.741 4.988
La 4.811 -6.512 1.731
Cu 0.000 0.000 0.000
B 1.481 -3.895 2.140
Pt 3.539 -3.404 2.336
Pt 8.037 -9.097 5.724
Pt 8.164 -8.490 2.866
Pt 0.932 -2.762 3.852
Pt 1.060 -2.155 0.994
Pt 5.558 -7.848 4.382


18
Lattice="7.414 -0.293 -0.207 3.407 6.591 -0.207 3.407 1.983 6.289" Properties=species:S:1:pos:R:3 comment="La2CuB3Pt12, relaxed, DFT PBE" formation_enthalpy_0k_mev_per_atom=-434 pbc="T T T"
La 8.691 5.059 3.588
La 5.537 3.223 2.286
Cu 0.000 0.000 0.000
B 3.707 -0.146 -0.104
B 1.703 3.296 -0.104
B 1.703 0.992 3.145
Pt 6.635 3.862 5.604
Pt 10.822 6.299 2.001
Pt 8.797 7.449 5.283
Pt 8.986 2.527 1.793
Pt 10.822 3.971 5.283
Pt 6.635 6.566 1.793
Pt 7.592 4.419 0.270
Pt 3.406 1.983 3.873
Pt 5.431 0.833 0.591
Pt 5.241 5.754 4.082
Pt 3.406 4.311 0.591
Pt 7.592 1.716 4.082


5
Lattice="5.277 0.000 0.000 0.000 4.714 0.000 0.000 0.000 5.277" Properties=species:S:1:pos:R:3 comment="LaCu2BRu, relaxed, DFT PBE" formation_enthalpy_0k_mev_per_atom=2199 pbc="T T T"
Ru 0.000 2.357 0.000
B 2.638 2.357 2.638
Cu 0.000 0.000 2.638
Cu 2.638 0.000 0.000
La 0.000 0.000 0.000


5
Lattice="4.593 0.000 0.000 0.000 6.011 0.000 0.000 0.000 4.593" Properties=species:S:1:pos:R:3 comment="LaYCuB2, relaxed, DFT PBE" formation_enthalpy_0k_mev_per_atom=1780 pbc="T T T"
Y 0.000 0.000 0.000
B 0.000 0.000 2.297
B 2.297 0.000 0.000
Cu 2.297 3.006 2.297
La 0.000 3.006 0.000


5
Lattice="5.273 0.000 0.000 0.000 5.010 0.000 0.000 0.000 5.273" Properties=species:S:1:pos:R:3 comment="La2YCuB, relaxed, DFT PBE" formation_enthalpy_0k_mev_per_atom=203 pbc="T T T"
Y 0.000 2.505 0.000
B 0.000 0.000 0.000
Cu 2.637 2.505 2.637
La 0.000 0.000 2.637
La 2.637 0.000 0.000


5
Lattice="-3.144 -4.865 -0.182 1.896 -1.105 -3.212 3.965 -2.685 3.264" Properties=species:S:1:pos:R:3 comment="La2YCuB, relaxed, DFT PBE" formation_enthalpy_0k_mev_per_atom=379 pbc="T T T"
Y 1.359 -4.327 -0.065
B 0.948 -0.552 -1.606
Cu 0.000 0.000 0.000
La 1.983 -1.342 1.632
La -1.572 -2.432 -0.091


5
Lattice="4.918 0.000 0.000 0.000 5.444 0.000 0.000 0.000 4.918" Properties=species:S:1:pos:R:3 comment="LaZrCu2B, relaxed, DFT PBE" formation_enthalpy_0k_mev_per_atom=2182 pbc="T T T"
B 2.459 2.722 2.459
Cu 0.000 0.000 2.459
Cu 2.459 0.000 0.000
Zr 0.000 2.722 0.000
La 0.000 0.000 0.000


Ordered magnetization results: 0.000, 0.000, 0.000, 0.000, 0.000, 0.000, 0.000, 0.000, 0.591, 0.000, 0.000, 0.000, 0.000, 0.000, 0.000, 0.000, 0.000, 0.000, 0.000, 0.000; unit μB/atom.